No. 1
# K2Br, relaxed, DFT PBE-GGA
# Energy relative to the lowest polymorph listed for this composition ... 0.052 eV/atom
data_K2Br
_chemical_formula_sum 'K4 Br2'
_space_group_name_H-M_alt 'P n n m'
_space_group_IT_number 58
_cell_length_a 8.0852
_cell_length_b 8.2348
_cell_length_c 4.6806
_cell_angle_alpha 90.00
_cell_angle_beta 90.00
_cell_angle_gamma 90.00
loop_
_space_group_symop_operation_xyz
'x,y,z'
'-x,-y,-z'
'-x,-y,z'
'x,y,-z'
'x+1/2,-y+1/2,-z+1/2'
'-x+1/2,y+1/2,z+1/2'
'-x+1/2,y+1/2,-z+1/2'
'x+1/2,-y+1/2,z+1/2'
loop_
_atom_site_label
_atom_site_fract_x
_atom_site_fract_y
_atom_site_fract_z
_atom_site_occupancy
K1 0.2290 0.1891 0.0000 1
Br1 0.0000 0.0000 0.5000 1


No. 2
# KBr3, relaxed, DFT PBE-GGA
# Energy ... -2.4135 eV per atom
data_KBr3
_chemical_formula_sum 'K2 Br6'
_space_group_name_H-M_alt 'I m m m'
_space_group_IT_number 71
_space_group_name_Hall '-I 2 2'
_cell_length_a 5.9803
_cell_length_b 6.7749
_cell_length_c 8.3735
_cell_angle_alpha 90.00
_cell_angle_beta 90.00
_cell_angle_gamma 90.00
loop_
_atom_site_label
_atom_site_fract_x
_atom_site_fract_y
_atom_site_fract_z
_atom_site_occupancy
K1 0.0000 0.0000 0.0000 1
Br1 0.0000 0.5000 0.0000 1
Br2 0.0000 0.5000 0.3104 1


No. 3
# K3Br, relaxed, DFT PBE-GGA
# Energy relative to the lowest polymorph listed for this composition ... 0.250 eV/atom
data_K3Br
_chemical_formula_sum 'K6 Br2'
_space_group_name_H-M_alt 'I 4/m m m'
_space_group_IT_number 139
_space_group_name_Hall '-I 4 2'
_cell_length_a 5.4264
_cell_length_b 5.4264
_cell_length_c 14.4187
_cell_angle_alpha 90.00
_cell_angle_beta 90.00
_cell_angle_gamma 90.00
loop_
_atom_site_label
_atom_site_fract_x
_atom_site_fract_y
_atom_site_fract_z
_atom_site_occupancy
K1 0.0000 0.0000 0.0000 1
K2 0.0000 0.5000 0.2500 1
Br1 0.0000 0.0000 0.5000 1


No. 4
# KBr3, relaxed, DFT PBE-GGA
# Energy ... -2.3084 eV per atom
data_KBr3
_chemical_formula_sum 'K1 Br3'
_space_group_name_H-M_alt 'P m m 2'
_space_group_IT_number 25
_cell_length_a 4.8750
_cell_length_b 7.7890
_cell_length_c 4.4715
_cell_angle_alpha 90.00
_cell_angle_beta 90.00
_cell_angle_gamma 90.00
loop_
_space_group_symop_operation_xyz
'x,y,z'
'-x,-y,z'
'-x,y,z'
'x,-y,z'
loop_
_atom_site_label
_atom_site_fract_x
_atom_site_fract_y
_atom_site_fract_z
_atom_site_occupancy
K1 0.0000 0.0000 0.0000 1
Br1 0.0000 0.5000 0.8654 1
Br2 0.5000 0.0000 0.5006 1
Br3 0.5000 0.5000 0.0286 1


No. 5
# K5Br4, relaxed, DFT PBE-GGA
# Energy ... -2.7831 eV per atom
data_K5Br4
_chemical_formula_sum 'K10 Br8'
_space_group_name_H-M_alt 'P 63/m c m'
_space_group_IT_number 193
_space_group_name_Hall '-P 6c 2'
_cell_length_a 9.6841
_cell_length_b 9.6841
_cell_length_c 8.9818
_cell_angle_alpha 90.00
_cell_angle_beta 90.00
_cell_angle_gamma 120.00
loop_
_atom_site_label
_atom_site_fract_x
_atom_site_fract_y
_atom_site_fract_z
_atom_site_occupancy
K1 0.0000 0.2481 0.2500 1
K2 0.3333 0.6667 0.0000 1
Br1 0.0000 0.0000 0.0000 1
Br2 0.0000 0.4118 0.7500 1


No. 6
# KBr, relaxed, DFT PBE-GGA
# Energy ... -3.0677 eV per atom
data_KBr
_chemical_formula_sum 'K6 Br6'
_space_group_name_H-M_alt 'C 1 m 1'
_space_group_IT_number 8
_cell_length_a 12.3426
_cell_length_b 4.2452
_cell_length_c 8.7676
_cell_angle_alpha 90.00
_cell_angle_beta 110.42
_cell_angle_gamma 90.00
loop_
_space_group_symop_operation_xyz
'x,y,z'
'x,-y,z'
'x+1/2,y+1/2,z'
'x+1/2,-y+1/2,z'
loop_
_atom_site_label
_atom_site_fract_x
_atom_site_fract_y
_atom_site_fract_z
_atom_site_occupancy
K1 0.0000 0.0000 0.0000 1
K2 0.1416 0.0000 0.6598 1
K3 0.3062 0.0000 0.3000 1
Br1 0.0870 0.5000 0.3331 1
Br2 0.2364 0.5000 0.9926 1
Br3 0.4182 0.0000 0.6867 1


No. 7
# KBr3, relaxed, DFT PBE-GGA
# Energy ... -2.1131 eV per atom
data_KBr3
_chemical_formula_sum 'K4 Br12'
_space_group_name_H-M_alt 'C m c m'
_space_group_IT_number 63
_space_group_name_Hall '-C 2c 2'
_cell_length_a 9.1903
_cell_length_b 10.6038
_cell_length_c 6.2068
_cell_angle_alpha 90.00
_cell_angle_beta 90.00
_cell_angle_gamma 90.00
loop_
_atom_site_label
_atom_site_fract_x
_atom_site_fract_y
_atom_site_fract_z
_atom_site_occupancy
K1 0.0000 0.1627 0.2500 1
Br1 0.0000 0.3162 0.7500 1
Br2 0.2141 0.1197 0.7500 1


No. 8
# KLaBr3, relaxed, DFT PBE-GGA
# Energy ... -3.9541 eV per atom
data_KLaBr3
_chemical_formula_sum 'K4 La4 Br12'
_space_group_name_H-M_alt 'C 1 2/m 1'
_space_group_IT_number 12
_cell_length_a 16.1993
_cell_length_b 4.1713
_cell_length_c 11.6257
_cell_angle_alpha 90.00
_cell_angle_beta 107.01
_cell_angle_gamma 90.00
loop_
_space_group_symop_operation_xyz
'x,y,z'
'-x,-y,-z'
'-x,y,-z'
'x,-y,z'
'x+1/2,y+1/2,z'
'-x+1/2,-y+1/2,-z'
'-x+1/2,y+1/2,-z'
'x+1/2,-y+1/2,z'
loop_
_atom_site_label
_atom_site_fract_x
_atom_site_fract_y
_atom_site_fract_z
_atom_site_occupancy
K1 0.0510 0.0000 0.3653 1
La1 0.2375 0.5000 0.8574 1
Br1 0.1099 0.0000 0.9068 1
Br2 0.1096 0.5000 0.6092 1
Br3 0.1588 0.5000 0.2368 1


No. 9
# KLa2Br, relaxed, DFT PBE-GGA
# Energy relative to the lowest polymorph listed for this composition ... 0.180 eV/atom
data_KLa2Br
_chemical_formula_sum 'K2 La4 Br2'
_space_group_name_H-M_alt 'I m m m'
_space_group_IT_number 71
_space_group_name_Hall '-I 2 2'
_cell_length_a 3.6585
_cell_length_b 5.5465
_cell_length_c 14.5047
_cell_angle_alpha 90.00
_cell_angle_beta 90.00
_cell_angle_gamma 90.00
loop_
_atom_site_label
_atom_site_fract_x
_atom_site_fract_y
_atom_site_fract_z
_atom_site_occupancy
K1 0.0000 0.0000 0.0000 1
La1 0.0000 0.5000 0.2018 1
Br1 0.0000 0.0000 0.5000 1


No. 10
# KLaBr3, relaxed, DFT PBE-GGA
# Energy ... -3.8065 eV per atom
data_KLaBr3
_chemical_formula_sum 'K1 La1 Br3'
_space_group_name_H-M_alt 'P m -3 m'
_space_group_IT_number 221
_space_group_name_Hall '-P 4 2 3'
_cell_length_a 5.9262
_cell_length_b 5.9262
_cell_length_c 5.9262
_cell_angle_alpha 90.00
_cell_angle_beta 90.00
_cell_angle_gamma 90.00
loop_
_atom_site_label
_atom_site_fract_x
_atom_site_fract_y
_atom_site_fract_z
_atom_site_occupancy
K1 0.0000 0.0000 0.0000 1
La1 0.5000 0.5000 0.5000 1
Br1 0.0000 0.5000 0.5000 1


No. 11
# KLaBr3, relaxed, DFT PBE-GGA
# Energy ... -3.9588 eV per atom
data_KLaBr3
_chemical_formula_sum 'K4 La4 Br12'
_space_group_name_H-M_alt 'P n m a'
_space_group_IT_number 62
_cell_length_a 9.5817
_cell_length_b 4.2112
_cell_length_c 17.1924
_cell_angle_alpha 90.00
_cell_angle_beta 90.00
_cell_angle_gamma 90.00
loop_
_space_group_symop_operation_xyz
'x,y,z'
'-x,-y,-z'
'-x+1/2,-y,z+1/2'
'x+1/2,y,-z+1/2'
'x+1/2,-y+1/2,-z+1/2'
'-x+1/2,y+1/2,z+1/2'
'-x,y+1/2,-z'
'x,-y+1/2,z'
loop_
_atom_site_label
_atom_site_fract_x
_atom_site_fract_y
_atom_site_fract_z
_atom_site_occupancy
K1 0.1036 0.2500 0.1922 1
La1 0.1521 0.7500 0.4609 1
Br1 0.0276 0.7500 0.6271 1
Br2 0.1581 0.7500 0.0341 1
Br3 0.1895 0.2500 0.8082 1


No. 12
# KLa2Br, relaxed, DFT PBE-GGA
# Energy relative to the lowest polymorph listed for this composition ... 0.282 eV/atom
data_KLa2Br
_chemical_formula_sum 'K2 La4 Br2'
_space_group_name_H-M_alt 'C m m m'
_space_group_IT_number 65
_space_group_name_Hall '-C 2 2'
_cell_length_a 3.8363
_cell_length_b 6.5178
_cell_length_c 12.5946
_cell_angle_alpha 90.00
_cell_angle_beta 90.00
_cell_angle_gamma 90.00
loop_
_atom_site_label
_atom_site_fract_x
_atom_site_fract_y
_atom_site_fract_z
_atom_site_occupancy
K1 0.0000 0.0000 0.0000 1
La1 0.0000 0.5000 0.3011 1
Br1 0.0000 0.0000 0.5000 1


No. 13
# KLa2Br, relaxed, DFT PBE-GGA
# Energy relative to the lowest polymorph listed for this composition ... 0.745 eV/atom
data_KLa2Br
_chemical_formula_sum 'K4 La8 Br4'
_space_group_name_H-M_alt 'F m -3 m'
_space_group_IT_number 225
_space_group_name_Hall '-F 4 2 3'
_cell_length_a 8.2674
_cell_length_b 8.2674
_cell_length_c 8.2674
_cell_angle_alpha 90.00
_cell_angle_beta 90.00
_cell_angle_gamma 90.00
loop_
_atom_site_label
_atom_site_fract_x
_atom_site_fract_y
_atom_site_fract_z
_atom_site_occupancy
K1 0.0000 0.0000 0.0000 1
La1 0.2500 0.2500 0.2500 1
Br1 0.0000 0.0000 0.5000 1